(1)
# MnNb2Au (PBE, relaxed)
data_MnNb2Au
_cell_length_a 4.5440
_cell_length_b 4.5440
_cell_length_c 4.5440
_cell_angle_alpha 60.00
_cell_angle_beta 60.00
_cell_angle_gamma 60.00
_symmetry_space_group_name_H-M 'P 1'
_symmetry_Int_Tables_number 1
_symmetry_space_group_name_Hall 'P 1'
loop_
_atom_site_label
_atom_site_fract_x
_atom_site_fract_y
_atom_site_fract_z
_atom_site_occupancy
Mn1 0.0000 0.0000 0.0000 1
Nb1 0.2500 0.2500 0.2500 1
Nb2 0.7500 0.7500 0.7500 1
Au1 0.5000 0.5000 0.5000 1
# M_tot: 0.0 Bohr magnetons per cell
# ΔE to the lowest computed polymorph: 254.2 meV per atom
# Fermi-level density of states: 2.5 states/eV per cell
# E: -31.8 eV/cell
# formation energy: 0.79 eV per formula unit

---

(2)
# MnNb4Au2 (PBE, relaxed)
data_MnNb4Au2
_cell_length_a 7.5962
_cell_length_b 7.5962
_cell_length_c 7.5962
_cell_angle_alpha 145.59
_cell_angle_beta 145.59
_cell_angle_gamma 49.45
_symmetry_space_group_name_H-M 'P 1'
_symmetry_Int_Tables_number 1
_symmetry_space_group_name_Hall 'P 1'
loop_
_atom_site_label
_atom_site_fract_x
_atom_site_fract_y
_atom_site_fract_z
_atom_site_occupancy
Mn1 0.0000 0.0000 0.0000 1
Nb1 0.0000 0.5000 0.5000 1
Nb2 0.1737 0.1737 0.0000 1
Nb3 0.5000 0.0000 0.5000 1
Nb4 0.8263 0.8263 0.0000 1
Au1 0.3666 0.3666 0.0000 1
Au2 0.6334 0.6334 0.0000 1
# M_tot: 0.0 Bohr magnetons per cell
# Fermi-level density of states: 7.2 states/eV per cell
# E: -51.9 eV/cell
# formation energy: 4.13 eV per formula unit

---

(3)
# Mn2Nb2Au (PBE, relaxed)
data_Mn2Nb2Au
_cell_length_a 6.9323
_cell_length_b 6.9323
_cell_length_c 3.2588
_cell_angle_alpha 90.00
_cell_angle_beta 90.00
_cell_angle_gamma 90.00
_symmetry_space_group_name_H-M 'P 1'
_symmetry_Int_Tables_number 1
_symmetry_space_group_name_Hall 'P 1'
loop_
_atom_site_label
_atom_site_fract_x
_atom_site_fract_y
_atom_site_fract_z
_atom_site_occupancy
Mn1 0.1241 0.3759 0.0000 1
Mn2 0.3759 0.8759 0.0000 1
Mn3 0.6241 0.1241 0.0000 1
Mn4 0.8759 0.6241 0.0000 1
Nb1 0.1756 0.6756 0.5000 1
Nb2 0.3244 0.1756 0.5000 1
Nb3 0.6756 0.8244 0.5000 1
Nb4 0.8244 0.3244 0.5000 1
Au1 0.0000 0.0000 0.0000 1
Au2 0.5000 0.5000 0.0000 1
# M_tot: 6.2 Bohr magnetons per cell
# Fermi-level density of states: 9.6 states/eV per cell
# E: -83.0 eV/cell
# formation energy: 0.28 eV per formula unit

---

(4)
# MnNbAu (PBE, relaxed)
data_MnNbAu
_cell_length_a 6.5211
_cell_length_b 6.5211
_cell_length_c 6.5211
_cell_angle_alpha 154.89
_cell_angle_beta 154.89
_cell_angle_gamma 35.81
_symmetry_space_group_name_H-M 'P 1'
_symmetry_Int_Tables_number 1
_symmetry_space_group_name_Hall 'P 1'
loop_
_atom_site_label
_atom_site_fract_x
_atom_site_fract_y
_atom_site_fract_z
_atom_site_occupancy
Mn1 0.0000 0.0000 0.0000 1
Nb1 0.3399 0.3399 0.0000 1
Au1 0.6621 0.6621 0.0000 1
# M_tot: 3.2 Bohr magnetons per cell
# Fermi-level density of states: 1.9 states/eV per cell
# E: -22.5 eV/cell
# formation energy: 0.05 eV per formula unit

---

(5)
# MnNb2Au (PBE, relaxed)
data_MnNb2Au
_cell_length_a 5.7244
_cell_length_b 5.7244
_cell_length_c 5.7244
_cell_angle_alpha 103.10
_cell_angle_beta 103.10
_cell_angle_gamma 123.15
_symmetry_space_group_name_H-M 'P 1'
_symmetry_Int_Tables_number 1
_symmetry_space_group_name_Hall 'P 1'
loop_
_atom_site_label
_atom_site_fract_x
_atom_site_fract_y
_atom_site_fract_z
_atom_site_occupancy
Mn1 0.0000 0.0000 0.0000 1
Mn2 0.7500 0.2500 0.5000 1
Nb1 0.0855 0.1250 0.4605 1
Nb2 0.3750 0.9145 0.0395 1
Nb3 0.6645 0.6250 0.5395 1
Nb4 0.8750 0.3355 0.9605 1
Au1 0.2500 0.7500 0.5000 1
Au2 0.5000 0.5000 0.0000 1
# M_tot: 0.0 Bohr magnetons per cell
# ΔE to the lowest computed polymorph: 459.9 meV per atom
# Fermi-level density of states: 9.8 states/eV per cell
# E: -61.9 eV/cell
# formation energy: 1.62 eV per formula unit

---

(6)
# MnNbAu2 (PBE, relaxed)
data_MnNbAu2
_cell_length_a 2.9332
_cell_length_b 2.9332
_cell_length_c 7.9553
_cell_angle_alpha 90.00
_cell_angle_beta 90.00
_cell_angle_gamma 90.00
_symmetry_space_group_name_H-M 'P 1'
_symmetry_Int_Tables_number 1
_symmetry_space_group_name_Hall 'P 1'
loop_
_atom_site_label
_atom_site_fract_x
_atom_site_fract_y
_atom_site_fract_z
_atom_site_occupancy
Mn1 0.0000 0.0000 0.0000 1
Nb1 0.0000 0.0000 0.5000 1
Au1 0.5000 0.5000 0.2385 1
Au2 0.5000 0.5000 0.7615 1
# M_tot: 3.8 Bohr magnetons per cell
# Fermi-level density of states: 2.4 states/eV per cell
# E: -25.9 eV/cell
# formation energy: -0.15 eV per formula unit